The following is a DFT calculation (PBE) of a relaxed DyErNp2As4 crystal.

Summary:
The value obtained for the formation energy from the elements is -8.800 eV/f.u. For the calculated volume, the calculation gives 195.1 Å³/f.u. Its total energy is -7.806 eV per atom.

a b c (Å): 7.096 4.095 7.119
angles (deg): 90.00 109.39 90.00
Space group P2/m (No. 10)
Unique sites:
1 Dy 0.000 0.000 0.000
2 Er 0.500 0.500 0.000
3 Np 0.000 0.500 0.500
4 Np 0.500 0.000 0.500
5 As 0.251 0.000 0.749
6 As 0.252 0.500 0.252